Here is an optimized crystal structure of Na6CrP4 from Alexandria. Energies are from PBE-GGA.

Lattice parameters (Å, degrees): 9.0188 9.0188 7.0900 90.00 90.00 120.00
Space group P6_3mc (No. 186)
Symmetry-distinct sites (fractional):
Na (0.0613, 0.5306, 0.0000)
Na (0.1464, 0.2927, 0.3179)
Cr (0.3333, 0.6667, 0.6111)
P (0.1984, 0.3967, 0.7094)
P (0.3333, 0.6667, 0.2995)

---

Here is an optimized crystal structure of Na2CrReP from Alexandria. Energies are from PBE-GGA.

Calculated values
- Density of states at the Fermi level: 0.601 states/eV/atom
- Polymorph energy (0 for the lowest one): 0.019 eV per atom

Lattice parameters (Å, degrees): 5.180 5.180 4.538 90.00 90.00 90.00
Space group P4/mmm (No. 123)
Symmetry-distinct sites (fractional):
Na (0.000, 0.500, 0.000)
Cr (0.000, 0.000, 0.000)
Re (0.000, 0.000, 0.500)
P (0.500, 0.500, 0.500)

---

Here is an optimized crystal structure of Na2CrReP from Alexandria. Energies are from PBE-GGA.

Calculated values
- Density of states at the Fermi level: 0.840 states/eV/atom
- Polymorph energy (0 for the lowest one): 0.000 eV per atom

Lattice parameters (Å, degrees): 5.578 5.578 4.395 90.00 90.00 90.00
Space group P4/mmm (No. 123)
Symmetry-distinct sites (fractional):
Na (0.000, 0.500, 0.000)
Cr (0.000, 0.000, 0.000)
Re (0.500, 0.500, 0.500)
P (0.000, 0.000, 0.500)

---

Here is an optimized crystal structure of NaCrP2S6 from Alexandria. Energies are from PBE-GGA.

Calculated values
- Polymorph energy (0 for the lowest one): 0.000 eV per atom
- Formation energy from raw total energies: -564 meV per atom

Lattice parameters (Å, degrees): 8.331 11.175 20.901 90.00 90.00 90.00
Space group Fdd2 (No. 43)
Symmetry-distinct sites (fractional):
Na (0.000, 0.000, 0.000)
Cr (0.000, 0.000, 0.662)
P (0.110, 0.059, 0.825)
S (0.005, 0.218, 0.651)
S (0.035, 0.259, 0.990)
S (0.037, 0.232, 0.833)

---

Here is an optimized crystal structure of NaCrP2S6 from Alexandria. Energies are from PBE-GGA.

Calculated values
- Polymorph energy (0 for the lowest one): 0.011 eV per atom
- Formation energy from raw total energies: -553 meV per atom

Lattice parameters (Å, degrees): 7.597 5.976 22.346 90.00 108.17 90.00
Space group P2_1/c (No. 14)
Symmetry-distinct sites (fractional):
Na (0.243, 0.032, 0.272)
Cr (0.023, 0.749, 0.542)
P (0.080, 0.743, 0.885)
P (0.221, 0.244, 0.128)
S (0.145, 0.610, 0.315)
S (0.149, 0.087, 0.394)
S (0.175, 0.579, 0.472)
S (0.218, 0.078, 0.545)
S (0.274, 0.589, 0.625)
S (0.366, 0.106, 0.706)

---

Here is an optimized crystal structure of NaCrP2S8 from Alexandria. Energies are from PBE-GGA.

Calculated values
- Density of states at the Fermi level: 0.414 states/eV/atom
- Formation energy from raw total energies: -276 meV per atom

Lattice parameters (Å, degrees): 5.8278 5.8278 9.0456 90.00 90.00 120.00
Space group P-3 (No. 147)
Symmetry-distinct sites (fractional):
Na (0.0000, 0.0000, 0.0000)
Cr (0.0000, 0.0000, 0.5000)
P (0.3333, 0.6667, 0.7148)
S (0.0109, 0.6744, 0.3529)
S (0.3333, 0.6667, 0.9354)

---

Here is an optimized crystal structure of NaScCr2P from Alexandria. Energies are from PBE-GGA.

Calculated values
- Density of states at the Fermi level: 0.826 states/eV/atom

Lattice parameters (Å, degrees): 4.737 4.737 4.831 90.00 90.00 90.00
Space group P4/mmm (No. 123)
Symmetry-distinct sites (fractional):
Na (0.000, 0.000, 0.000)
Sc (0.500, 0.500, 0.500)
Cr (0.000, 0.500, 0.000)
P (0.000, 0.000, 0.500)

---

Here is an optimized crystal structure of Na2Cr2PSe6 from Alexandria. Energies are from PBE-GGA.

Calculated values
- Density of states at the Fermi level: 0.008 states/eV/atom
- Formation energy from raw total energies: -610 meV per atom

Lattice parameters (Å, degrees): 6.390 11.087 7.324 90.00 106.58 90.00
Space group C2/m (No. 12)
Symmetry-distinct sites (fractional):
Na (0.000, 0.165, 0.000)
Cr (0.000, 0.332, 0.500)
P (0.000, 0.000, 0.500)
Se (0.230, 0.166, 0.694)
Se (0.231, 0.500, 0.694)

---

Number 1: energy -3.90 eV/atom, V 22.70 Å³/atom. Number 2: energy -4.49 eV/atom, V 24.36 Å³/atom. Number 3: energy -4.51 eV/atom, V 27.34 Å³/atom. Number 4: energy -5.22 eV/atom, V 24.33 Å³/atom. Number 5: energy -5.21 eV/atom, V 24.10 Å³/atom. Number 6: energy -4.84 eV/atom, V 22.17 Å³/atom. Number 7: energy -5.18 eV/atom, V 21.68 Å³/atom. Number 8: energy -4.99 eV/atom, V 22.61 Å³/atom.